# TiMoPt

An optimized crystal structure of TiMoPt (PBE-GGA, Alexandria via LeMat-Bulk).

abc: 4.2710 2.7000 8.3126
angles: 80.65 90.00 90.00
Last column: nearest neighbours and their distance in Å.
Sites, in units of the cell vectors:
Ti: 0.2500 0.4506 0.0989  4 Ti 2.68-2.70, 1 Mo 2.70, 6 Pt 2.74-3.00
Ti: 0.7500 0.5494 0.9011  4 Ti 2.68-2.70, 1 Mo 2.70, 6 Pt 2.74-3.00
Mo: 0.7500 0.7141 0.5719  6 Mo 2.70-2.79, 1 Ti 2.70, 5 Pt 2.82-3.02
Mo: 0.2500 0.2859 0.4281  6 Mo 2.70-2.79, 1 Ti 2.70, 5 Pt 2.82-3.02
Pt: 0.2500 0.1138 0.7725  2 Pt 2.70, 6 Ti 2.74-3.00, 5 Mo 2.82-3.02
Pt: 0.7500 0.8862 0.2275  2 Pt 2.70, 6 Ti 2.74-3.00, 5 Mo 2.82-3.02

formation enthalpy at 0 K	-0.280	eV per atom
D(E_F)	1.164	states/eV/atom
SG	Cmcm, No. 63